Entry 1:
! AcNdZnIn, relaxed, DFT PBE; values from VASP
&SYSTEM
  ibrav = 0, nat = 4, ntyp = 4
/
ATOMIC_SPECIES
Ac 227.00 Ac.upf
Nd 144.24 Nd.upf
Zn 65.41 Zn.upf
In 114.82 In.upf
ATOMIC_POSITIONS angstrom
Ac 0.0000 0.0000 0.0000
Nd 3.9206 3.9206 3.9206
Zn 5.8809 5.8809 5.8809
In 1.9603 1.9603 1.9603
CELL_PARAMETERS angstrom
0.0000 3.9206 3.9206
3.9206 0.0000 3.9206
3.9206 3.9206 0.0000
! E above lowest polymorph, eV per atom: 0.028
! Space-group type: F-43m, No. 216
! Uncorrected energy, eV/atom: -3.552
! DFT formation energy, eV per atom: -0.33

=====

Entry 2:
! LiEuO3, relaxed, DFT PBE; values from VASP
&SYSTEM
  ibrav = 0, nat = 5, ntyp = 3
/
ATOMIC_SPECIES
Li 6.94 Li.upf
Eu 151.96 Eu.upf
O 16.00 O.upf
ATOMIC_POSITIONS angstrom
Li 0.0000 0.0000 0.0000
Eu 1.8830 1.8830 1.8830
O 0.0000 0.0000 1.8830
O 0.0000 1.8830 0.0000
O 1.8830 0.0000 0.0000
CELL_PARAMETERS angstrom
3.7661 0.0000 0.0000
0.0000 3.7661 0.0000
0.0000 0.0000 3.7661
! Space-group type: Pm-3m, No. 221
! Formation energy from raw total energies, meV/atom: -1487.8
! Uncorrected energy, eV/atom: -6.900

=====

Entry 3:
! Sm2Ge5Rh3, relaxed, DFT PBE; values from VASP
&SYSTEM
  ibrav = 0, nat = 20, ntyp = 3
/
ATOMIC_SPECIES
Sm 150.36 Sm.upf
Ge 72.64 Ge.upf
Rh 102.91 Rh.upf
ATOMIC_POSITIONS angstrom
Sm 1.9916 1.6770 1.2403
Sm 0.5661 -1.6770 3.8500
Sm 8.0607 1.6770 1.3695
Sm 6.6352 -1.6770 3.9793
Ge 3.6007 5.9956 3.9147
Ge 1.4483 1.1907 4.3413
Ge 3.6007 2.7532 3.9147
Ge 5.0262 2.5778 1.3049
Ge 2.8738 -1.1907 1.7315
Ge 5.7530 1.1907 3.4880
Ge 3.6007 -2.5778 3.9147
Ge 5.0262 -2.7532 1.3049
Ge 7.1785 -1.1907 0.8782
Ge 5.0262 -5.9956 1.3049
Rh 3.5491 4.4161 1.9609
Rh 6.5032 4.4161 0.6489
Rh 5.0262 0.0336 1.3049
Rh 3.6007 -0.0336 3.9147
Rh 2.1236 -4.4161 4.5707
Rh 5.0777 -4.4161 3.2587
CELL_PARAMETERS angstrom
5.7389 -6.1434 0.0000
5.7389 6.1434 0.0000
-2.8510 0.0000 5.2196
! Space-group type: C2/c, No. 15
! Uncorrected energy, eV/atom: -6.275
! DFT formation energy, eV per atom: -0.82

=====

Entry 4:
! LaCuIr2, relaxed, DFT PBE; values from VASP
&SYSTEM
  ibrav = 0, nat = 4, ntyp = 3
/
ATOMIC_SPECIES
La 138.91 La.upf
Cu 63.55 Cu.upf
Ir 192.22 Ir.upf
ATOMIC_POSITIONS angstrom
La 0.0000 0.0000 0.0000
Cu 4.9733 4.9733 4.9733
Ir 1.6578 1.6578 1.6578
Ir 3.3155 3.3155 3.3155
CELL_PARAMETERS angstrom
0.0000 3.3155 3.3155
3.3155 0.0000 3.3155
3.3155 3.3155 0.0000
! E above lowest polymorph, eV per atom: 0.511
! Space-group type: F-43m, No. 216
! Uncorrected energy, eV/atom: -6.574
! DFT formation energy, eV per atom: 0.11